one.
Material: CaAcSm2
Method: DFT, PBE
State: relaxed

```
data_CaAcSm2
_chemical_formula_sum 'Ca3 Ac3 Sm6'
_symmetry_space_group_name_H-M 'R -3 m'
_symmetry_Int_Tables_number 166
_symmetry_space_group_name_Hall '-R 3 2"'
_cell_length_a 3.6989
_cell_length_b 3.6989
_cell_length_c 39.2940
_cell_angle_alpha 90.00
_cell_angle_beta 90.00
_cell_angle_gamma 120.00
loop_
_atom_site_label
_atom_site_fract_x
_atom_site_fract_y
_atom_site_fract_z
Ca1 0.0000 0.0000 0.0000
Ac1 0.0000 0.0000 0.5000
Sm1 0.0000 0.0000 0.0894
```

## Properties
V = 38.800 Å³/atom
crystal system = trigonal

***

two.
Material: CaAcSm2
Method: DFT, PBE
State: relaxed

```
data_CaAcSm2
_chemical_formula_sum 'Ca1 Ac1 Sm2'
_symmetry_space_group_name_H-M 'P 4/m m m'
_symmetry_Int_Tables_number 123
_symmetry_space_group_name_Hall '-P 4 2'
_cell_length_a 3.8179
_cell_length_b 3.8179
_cell_length_c 10.4574
_cell_angle_alpha 90.00
_cell_angle_beta 90.00
_cell_angle_gamma 90.00
loop_
_atom_site_label
_atom_site_fract_x
_atom_site_fract_y
_atom_site_fract_z
Ca1 0.0000 0.0000 0.0000
Ac1 0.0000 0.0000 0.5000
Sm1 0.5000 0.5000 0.2559
```

## Properties
V = 38.108 Å³/atom
crystal system = tetragonal

***

Energetically preferred structure: two | next structure: +9.6 kJ/mol of atoms